VASP calculation (GGA+U) on a relaxed NiRhN2F crystal.

Cell and atoms, written as CIF:
```
data_NiRhN2F
_cell_length_a 3.7904
_cell_length_b 3.7904
_cell_length_c 3.5225
_cell_angle_alpha 90.00
_cell_angle_beta 90.00
_cell_angle_gamma 90.00
_symmetry_space_group_name_H-M 'P 4/m m m'
_symmetry_Int_Tables_number 123
_symmetry_space_group_name_Hall '-P 4 2'
loop_
_atom_site_label
_atom_site_fract_x
_atom_site_fract_y
_atom_site_fract_z
Ni1 0.0000 0.0000 0.0000
Rh1 0.5000 0.5000 0.5000
N1 0.0000 0.5000 0.0000
F1 0.0000 0.0000 0.5000
```

Results
* raw total energy: -4.515 eV per atom